{
  "formula": "Y2TlF7",
  "functional": "GGA-PBE",
  "state": "optimized geometry",
  "cell": [[4.397, 0.000, 0.000], [0.000, 6.749, -0.019], [0.000, -2.994, 6.048]],
  "species": ["F", "F", "F", "F", "F", "F", "F", "Y", "Y", "Tl"],
  "frac_coords": [[0.500, 0.500, 0.500], [0.500, 0.043, 0.335], [0.500, 0.957, 0.665], [0.000, 0.704, 0.296], [0.500, 0.665, 0.957], [0.000, 0.296, 0.704], [0.500, 0.335, 0.043], [0.500, 0.307, 0.693], [0.500, 0.693, 0.307], [0.000, 0.000, 0.000]],
  "magnetic_moment_mub_per_cell": 0.00,
  "formation_energy_uncorrected_ev_per_atom": -3.671,
  "energy_ev_per_atom": -6.510
}